Computed, not measured: a PBEsol-optimized structure of Mg16MnAl12 at the meta-GGA SCAN level of DFT.

Unit cell a=8.936 b=8.936 c=8.936 alpha=108.89 beta=108.89 gamma=108.89
Fractional positions:
Mg1 0.008 0.008 0.008
Mg2 0.348 0.996 0.996
Mg3 0.281 0.681 0.681
Mg4 0.703 0.415 0.415
Mg5 0.996 0.317 0.596
Mg6 0.415 0.415 0.703
Mg7 0.596 0.996 0.317
Mg8 0.996 0.996 0.348
Mg9 0.317 0.596 0.996
Mg10 0.681 0.281 0.681
Mg11 0.681 0.681 0.281
Mg12 0.317 0.996 0.596
Mg13 0.996 0.348 0.996
Mg14 0.596 0.317 0.996
Mg15 0.415 0.703 0.415
Mg16 0.996 0.596 0.317
Mn1 0.713 0.713 0.713
Al1 0.167 0.356 0.356
Al2 0.807 0.187 0.187
Al3 0.995 0.633 0.814
Al4 0.633 0.814 0.995
Al5 0.356 0.167 0.356
Al6 0.814 0.633 0.995
Al7 0.187 0.807 0.187
Al8 0.187 0.187 0.807
Al9 0.814 0.995 0.633
Al10 0.356 0.356 0.167
Al11 0.633 0.995 0.814
Al12 0.995 0.814 0.633

**Uncorrected energy**: -6.6090 eV/atom
**Crystal system**: trigonal

=====

Computed, not measured: a PBEsol-optimized structure of MgMn2Al at the meta-GGA SCAN level of DFT.

Unit cell a=2.694 b=2.694 c=8.811 alpha=81.21 beta=81.21 gamma=60.00
Fractional positions:
Al1 0.500 0.500 0.500
Mg1 0.000 0.000 0.000
Mn1 0.245 0.245 0.264
Mn2 0.755 0.755 0.736

**Uncorrected energy**: -12.2518 eV/atom
**Crystal system**: trigonal

=====

Computed, not measured: a PBEsol-optimized structure of Mg30MnAlO32 at the meta-GGA SCAN level of DFT.

Unit cell a=8.443 b=8.468 c=8.468 alpha=90.00 beta=90.00 gamma=90.00
Fractional positions:
Mg1 0.000 0.500 0.000
Mg2 0.000 0.000 0.500
Mg3 0.500 0.000 0.000
Mg4 0.500 0.500 0.000
Mg5 0.500 0.000 0.500
Mg6 0.500 0.500 0.500
Mg7 0.000 0.252 0.252
Mg8 0.000 0.748 0.252
Mg9 0.000 0.252 0.748
Mg10 0.000 0.748 0.748
Mg11 0.500 0.251 0.251
Mg12 0.500 0.749 0.251
Mg13 0.500 0.251 0.749
Mg14 0.500 0.749 0.749
Mg15 0.250 0.251 0.000
Mg16 0.250 0.749 0.000
Mg17 0.250 0.250 0.500
Mg18 0.250 0.750 0.500
Mg19 0.750 0.251 0.000
Mg20 0.750 0.749 0.000
Mg21 0.750 0.250 0.500
Mg22 0.750 0.750 0.500
Mg23 0.250 0.000 0.251
Mg24 0.250 0.500 0.250
Mg25 0.250 0.000 0.749
Mg26 0.250 0.500 0.750
Mg27 0.750 0.000 0.251
Mg28 0.750 0.500 0.250
Mg29 0.750 0.000 0.749
Mg30 0.750 0.500 0.750
Mn1 0.000 0.500 0.500
Al1 0.000 0.000 0.000
O1 0.236 0.000 0.000
O2 0.250 0.500 0.000
O3 0.250 0.000 0.500
O4 0.256 0.500 0.500
O5 0.764 0.000 0.000
O6 0.750 0.500 0.000
O7 0.750 0.000 0.500
O8 0.744 0.500 0.500
O9 0.250 0.250 0.250
O10 0.250 0.750 0.250
O11 0.250 0.250 0.750
O12 0.250 0.750 0.750
O13 0.750 0.250 0.250
O14 0.750 0.750 0.250
O15 0.750 0.250 0.750
O16 0.750 0.750 0.750
O17 0.000 0.233 0.000
O18 0.000 0.767 0.000
O19 0.000 0.236 0.500
O20 0.000 0.764 0.500
O21 0.500 0.247 0.000
O22 0.500 0.753 0.000
O23 0.500 0.248 0.500
O24 0.500 0.752 0.500
O25 0.000 0.000 0.233
O26 0.000 0.500 0.236
O27 0.000 0.000 0.767
O28 0.000 0.500 0.764
O29 0.500 0.000 0.247
O30 0.500 0.500 0.248
O31 0.500 0.000 0.753
O32 0.500 0.500 0.752

**Energy relative to the elements, uncorrected**: -2.9338 eV per atom
**Uncorrected energy**: -8.7872 eV/atom
**Crystal system**: tetragonal

=====

Computed, not measured: a PBEsol-optimized structure of MgMnAlRu2 at the meta-GGA SCAN level of DFT.

Unit cell a=4.327 b=4.327 c=4.502 alpha=90.00 beta=90.00 gamma=90.00
Fractional positions:
Ru1 0.000 0.500 0.000
Ru2 0.500 0.000 0.000
Mg1 0.000 0.000 0.500
Mn1 0.000 0.000 0.000
Al1 0.500 0.500 0.500

**Uncorrected energy**: -19.2724 eV/atom
**Crystal system**: tetragonal

=====

Computed, not measured: a PBEsol-optimized structure of Mg2Mn3AlS8 at the meta-GGA SCAN level of DFT.

Unit cell a=7.153 b=7.153 c=7.153 alpha=59.78 beta=59.78 gamma=59.78
Fractional positions:
Mg1 0.875 0.875 0.875
Mg2 0.125 0.125 0.125
Mn1 0.500 0.500 0.000
Mn2 0.000 0.500 0.500
Mn3 0.500 0.000 0.500
Al1 0.500 0.500 0.500
S1 0.738 0.738 0.738
S2 0.263 0.263 0.711
S3 0.263 0.711 0.263
S4 0.711 0.263 0.263
S5 0.737 0.289 0.737
S6 0.289 0.737 0.737
S7 0.262 0.262 0.262
S8 0.737 0.737 0.289

**Energy relative to the elements, uncorrected**: -1.1598 eV per atom
**Uncorrected energy**: -11.8376 eV/atom
**Crystal system**: trigonal

=====

Computed, not measured: a PBEsol-optimized structure of MgMnAlS4 at the meta-GGA SCAN level of DFT.

Unit cell a=7.153 b=7.153 c=7.153 alpha=88.87 beta=60.61 gamma=119.32
Fractional positions:
S1 0.975 0.762 0.763
S2 0.026 0.787 0.239
S3 0.474 0.235 0.239
S4 0.475 0.238 0.786
S5 0.526 0.765 0.761
S6 0.525 0.762 0.214
S7 0.025 0.238 0.237
S8 0.974 0.213 0.761
Mg1 0.250 0.625 0.625
Mg2 0.750 0.375 0.375
Mn1 0.500 0.500 0.000
Mn2 0.000 0.000 0.000
Al1 0.500 0.000 0.000
Al2 0.000 0.000 0.500

**Energy relative to the elements, uncorrected**: -1.2426 eV per atom
**Uncorrected energy**: -11.1702 eV/atom
**Crystal system**: orthorhombic

=====

What is the uncorrected energy in the fifth record?
-11.8376 eV/atom